(1)
! LaIn2BiH (GGA-PBE, optimized geometry); values from VASP
! - DOS at the Fermi energy: 2.34 states/eV/cell
! - SG: P4/mmm, No. 123
! - Uncorrected energy: -3.85 eV per atom
&SYSTEM
  ibrav = 0, nat = 5, ntyp = 4
/
ATOMIC_SPECIES
In 114.82 In.upf
Bi 208.98 Bi.upf
H 1.01 H.upf
La 138.91 La.upf
CELL_PARAMETERS angstrom
4.995 0.000 0.000
0.000 4.995 0.000
0.000 0.000 4.782
ATOMIC_POSITIONS crystal
In 0.000 0.500 0.000
In 0.500 0.000 0.000
Bi 0.500 0.500 0.500
H 0.000 0.000 0.000
La 0.000 0.000 0.500


(2)
! La4InBiH (GGA-PBE, optimized geometry); values from VASP
! - DOS at the Fermi energy: 15.79 states/eV/cell
! - SG: Cmcm, No. 63
! - Uncorrected energy: -4.83 eV per atom
&SYSTEM
  ibrav = 0, nat = 14, ntyp = 4
/
ATOMIC_SPECIES
Bi 208.98 Bi.upf
H 1.01 H.upf
La 138.91 La.upf
In 114.82 In.upf
CELL_PARAMETERS angstrom
6.746 0.000 0.000
0.000 6.768 0.000
-3.373 0.000 9.120
ATOMIC_POSITIONS crystal
Bi 0.613 0.750 0.226
Bi 0.387 0.250 0.774
H 0.708 0.250 0.415
H 0.292 0.750 0.585
La 0.932 0.250 0.864
La 0.427 0.750 0.855
La 0.573 0.250 0.145
La 0.500 0.500 0.500
La 0.000 0.500 0.500
La 0.500 0.000 0.500
La 0.068 0.750 0.136
La 0.000 0.000 0.500
In 0.886 0.750 0.772
In 0.114 0.250 0.228


The evaluated volume for the records listed, in turn: 23.86, 29.74 Å³/atom.